Entry 1:
20
Lattice="-5.017 1.899 1.144 -1.792 -5.217 0.798 2.898 0.756 11.451" Properties=species:S:1:pos:R:3 comment="PuFeAs3 (PBE, relaxed)" total_energy_ev_per_cell=-157.6 spacegroup="Pbcm (57)" pbc="T T T"
Pu -2.642 -0.638 9.191
Pu -4.658 -3.539 5.166
Pu 0.747 0.977 8.227
Pu -1.269 -1.923 4.202
As 0.995 -0.927 5.903
As -2.398 -2.584 6.918
As -1.513 0.022 6.475
As -2.154 -2.623 1.483
As -5.189 -3.208 2.290
As 0.110 -3.533 6.346
As 1.278 0.647 11.103
As 0.123 -1.557 9.694
As -3.269 -3.179 10.660
As -0.642 0.618 2.733
As -1.758 0.062 11.910
As -4.034 -1.004 3.699
Fe -0.188 -1.236 1.228
Fe -1.215 -2.275 11.592
Fe 1.293 -3.224 11.020
Fe -2.696 -0.287 1.801

Entry 2:
18
Lattice="-4.489 0.147 6.977 -4.968 -0.245 -6.642 4.797 -6.767 -0.240" Properties=species:S:1:pos:R:3 comment="Y12Co5Hg (PBE, relaxed)" total_energy_ev_per_cell=-117.3 spacegroup="Immm (71)" pbc="T T T"
Y -2.703 -1.311 5.463
Y -3.127 -2.152 -4.745
Y -1.662 -1.944 2.022
Y -2.802 -5.369 1.481
Y -1.957 -5.554 -5.368
Y -1.858 -1.496 -1.385
Y -2.998 -4.921 -1.927
Y -4.636 -0.057 2.766
Y -1.533 -4.713 4.840
Y 0.039 -4.217 -0.127
Y -0.024 -6.808 -2.671
Y -4.699 -2.648 0.223
Co 0.135 -4.095 2.598
Co 0.000 0.000 0.000
Co -4.795 -2.770 -2.503
Co -3.592 -0.037 0.127
Co -5.865 -0.061 0.208
Hg -0.086 -3.506 -3.441

Entry 3:
4
Lattice="-2.651 -2.026 3.896 -0.391 -5.094 0.462 2.462 -2.428 3.789" Properties=species:S:1:pos:R:3 comment="HoPuAlAu (PBE, relaxed)" total_energy_ev_per_cell=-27.3 spacegroup="F-43m (216)" pbc="T T T"
Al -0.290 -4.774 4.073
Pu -0.145 -2.387 2.037
Au 0.000 0.000 0.000
Ho -0.434 -7.161 6.110